Material: NiGe2Se
Method: DFT, PBE
State: optimized geometry

The space group is P2_1/m (No. 11) and the conventional cell measures 5.870, 3.598 and 6.753 Å, with angles of 90.00, 92.68 and 90.00 degrees. Symmetry generates all atoms from Ni at (0.174, 0.250, 0.026), Ge at (0.082, 0.750, 0.270), Ge at (0.399, 0.750, 0.868) and Se at (0.263, 0.250, 0.511).

The density comes out at 6.595 Mg/m³. The calculation puts the energy at -4.592 eV/atom.